VASP calculation (SCAN) on a PBEsol-optimized structure of Na2TcB.

Results
Volume ... 366 Å³ per cell
Uncorrected energy ... -11.7479 eV/atom
Energy relative to the elements ... 0.98 eV per atom
Theoretical density ... 2.8 g/cm³

CIF file:
```
data_Na2TcB
_cell_length_a 9.523
_cell_length_b 9.523
_cell_length_c 4.033
_cell_angle_alpha 90.00
_cell_angle_beta 90.00
_cell_angle_gamma 90.00
_symmetry_space_group_name_H-M 'I -4 2 d'
_symmetry_Int_Tables_number 122
_symmetry_space_group_name_Hall 'I -4 2bw'
loop_
_atom_site_label
_atom_site_fract_x
_atom_site_fract_y
_atom_site_fract_z
Na1 0.109 0.250 0.125
Tc1 0.000 0.000 0.500
B1 0.000 0.000 0.000
```